[1]
{"formula": "NpTlGa2Br6", "functional": "PBE", "state": "optimized geometry", "magmom_total_mub_per_fu": 4.00, "raw_formation_energy_ev_per_atom": -0.914, "total_energy_ev_per_atom": -4.0534, "lattice": [[7.652, 0.000, 0.000], [0.000, 8.757, 0.000], [-7.259, 0.000, 11.188]], "species": ["Np", "Np", "Tl", "Tl", "Ga", "Ga", "Ga", "Ga", "Br", "Br", "Br", "Br", "Br", "Br", "Br", "Br", "Br", "Br", "Br", "Br"], "frac_coords": [[0.000, 0.000, 0.000], [0.000, 0.500, 0.500], [0.500, 0.000, 0.500], [0.500, 0.500, 0.000], [0.308, 0.080, 0.800], [0.308, 0.420, 0.300], [0.692, 0.580, 0.700], [0.692, 0.920, 0.200], [0.076, 0.090, 0.230], [0.076, 0.410, 0.730], [0.274, 0.739, 0.102], [0.274, 0.761, 0.602], [0.363, 0.160, 0.036], [0.363, 0.340, 0.536], [0.637, 0.660, 0.464], [0.637, 0.840, 0.964], [0.726, 0.239, 0.398], [0.726, 0.261, 0.898], [0.924, 0.590, 0.270], [0.924, 0.910, 0.770]]}


[2]
{"formula": "Na2HoTa5O15", "functional": "PBE", "state": "optimized geometry", "magmom_total_mub_per_fu": 0.00, "raw_formation_energy_ev_per_atom": -2.832, "total_energy_ev_per_atom": -8.9555, "lattice": [[12.579, 0.000, 0.000], [0.000, 12.579, 0.000], [0.000, 0.000, 3.926]], "species": ["Na", "Na", "Na", "Na", "Ho", "Ho", "Ta", "Ta", "Ta", "Ta", "Ta", "Ta", "Ta", "Ta", "Ta", "Ta", "O", "O", "O", "O", "O", "O", "O", "O", "O", "O", "O", "O", "O", "O", "O", "O", "O", "O", "O", "O", "O", "O", "O", "O", "O", "O", "O", "O", "O", "O"], "frac_coords": [[0.157, 0.343, 0.000], [0.343, 0.843, 0.000], [0.657, 0.157, 0.000], [0.843, 0.657, 0.000], [0.000, 0.000, 0.000], [0.500, 0.500, 0.000], [0.000, 0.500, 0.500], [0.079, 0.789, 0.500], [0.211, 0.079, 0.500], [0.289, 0.579, 0.500], [0.421, 0.289, 0.500], [0.500, 0.000, 0.500], [0.579, 0.711, 0.500], [0.711, 0.421, 0.500], [0.789, 0.921, 0.500], [0.921, 0.211, 0.500], [0.000, 0.500, 0.000], [0.003, 0.341, 0.500], [0.059, 0.130, 0.500], [0.076, 0.812, 0.000], [0.130, 0.941, 0.500], [0.159, 0.497, 0.500], [0.188, 0.076, 0.000], [0.221, 0.721, 0.500], [0.279, 0.221, 0.500], [0.312, 0.576, 0.000], [0.341, 0.997, 0.500], [0.370, 0.441, 0.500], [0.424, 0.312, 0.000], [0.441, 0.630, 0.500], [0.497, 0.841, 0.500], [0.500, 0.000, 0.000], [0.503, 0.159, 0.500], [0.559, 0.370, 0.500], [0.576, 0.688, 0.000], [0.630, 0.559, 0.500], [0.659, 0.003, 0.500], [0.688, 0.424, 0.000], [0.721, 0.779, 0.500], [0.779, 0.279, 0.500], [0.812, 0.924, 0.000], [0.841, 0.503, 0.500], [0.870, 0.059, 0.500], [0.924, 0.188, 0.000], [0.941, 0.870, 0.500], [0.997, 0.659, 0.500]]}


[3]
{"formula": "SrNiH3", "functional": "PBE", "state": "optimized geometry", "magmom_total_mub_per_fu": 0.00, "total_energy_ev_per_atom": -3.8002, "lattice": [[2.407, 1.390, 5.226], [-2.407, 1.390, 5.226], [0.000, -2.779, 5.226]], "species": ["Sr", "Sr", "Ni", "Ni", "H", "H", "H", "H", "H", "H"], "frac_coords": [[0.107, 0.107, 0.107], [0.893, 0.893, 0.893], [0.328, 0.328, 0.328], [0.672, 0.672, 0.672], [0.067, 0.567, 0.567], [0.433, 0.433, 0.933], [0.433, 0.933, 0.433], [0.567, 0.067, 0.567], [0.567, 0.567, 0.067], [0.933, 0.433, 0.433]]}


[4]
{"formula": "TbPm2Sm2Dy2", "functional": "PBE", "state": "optimized geometry", "magmom_total_mub_per_fu": 0.00, "total_energy_ev_per_atom": -4.5442, "lattice": [[2.869, 1.656, 8.161], [-2.869, 1.656, 8.161], [0.000, -3.313, 8.161]], "species": ["Tb", "Pm", "Pm", "Sm", "Sm", "Dy", "Dy"], "frac_coords": [[0.000, 0.000, 0.000], [0.139, 0.139, 0.139], [0.861, 0.861, 0.861], [0.281, 0.281, 0.281], [0.719, 0.719, 0.719], [0.426, 0.426, 0.426], [0.574, 0.574, 0.574]]}